SnAsP2O after structural relaxation, computed with PBE.

## Properties
- E_tot (eV per atom) = -4.36
- volume (Å³/cell) = 101.8
- density (Mg/m³) = 4.4
- size of the total moment (μB per formula unit) = 0.0
- formation energy from raw total energies (eV per atom) = 0.522

Cell lengths 5.1218, 5.1218, 3.8808 Å; angles 90.00, 90.00, 90.00 degrees
Last column: nearest neighbours and their distance in Å.
Space group P4/mmm (No. 123)
Asymmetric unit:
Sn 0.0000 0.0000 0.0000 [1 per cell]  2 O 1.94
As 0.5000 0.5000 0.5000 [1 per cell]  8 P 3.21
P 0.0000 0.5000 0.0000 [2 per cell]  2 Sn 2.56
O 0.0000 0.0000 0.5000 [1 per cell]  2 Sn 1.94